Compound: ZnRePt2
Source: Alexandria
Functional: PBE
Structure: optimized geometry

Results
As for the mass density: 17.75 g cm⁻³. The calculation puts the total energy at -0.2370 Ha/atom.

Unit cell a=4.802 b=4.802 c=4.802 alpha=131.94 beta=131.94 gamma=70.33
Sites, in units of the cell vectors:
Zn 0.000 0.000 0.000
Re 0.500 0.500 0.000
Pt 0.250 0.750 0.500
Pt 0.750 0.250 0.500